DFT (PBE) results for a relaxed structure of Ba5Te4Br.

```
data_Ba5Te4Br
_chemical_formula_sum 'Ba5 Te4 Br1'
_cell_length_a 13.088
_cell_length_b 13.088
_cell_length_c 13.088
_cell_angle_alpha 158.09
_cell_angle_beta 148.97
_cell_angle_gamma 38.31
_space_group_name_H-M_alt 'P 1'
_space_group_IT_number 1
_space_group_name_Hall 'P 1'
loop_
_atom_site_label
_atom_site_type_symbol
_atom_site_fract_x
_atom_site_fract_y
_atom_site_fract_z
Ba1 Ba 0.000 0.000 0.000
Ba2 Ba 0.200 0.200 0.000
Ba3 Ba 0.397 0.397 0.000
Ba4 Ba 0.603 0.603 0.000
Ba5 Ba 0.800 0.800 0.000
Te1 Te 0.098 0.598 0.500
Te2 Te 0.302 0.802 0.500
Te3 Te 0.698 0.198 0.500
Te4 Te 0.902 0.402 0.500
Br1 Br 0.500 0.000 0.500
```

Calculated values
As for the space-group type: Immm, No. 71. Its formation energy (no corrections) is -1765 meV/atom. The calculation puts the density at 4.92 g cm⁻³. The calculation puts the total energy at -41.502 eV for the cell shown. The magnetic moment is 0.00 μB/cell.

DFT (PBE) results for a relaxed structure of Ba4TeBr.

```
data_Ba4TeBr
_chemical_formula_sum 'Ba4 Te1 Br1'
_cell_length_a 7.336
_cell_length_b 7.336
_cell_length_c 7.336
_cell_angle_alpha 60.00
_cell_angle_beta 60.00
_cell_angle_gamma 60.00
_space_group_name_H-M_alt 'P 1'
_space_group_IT_number 1
_space_group_name_Hall 'P 1'
loop_
_atom_site_label
_atom_site_type_symbol
_atom_site_fract_x
_atom_site_fract_y
_atom_site_fract_z
Ba1 Ba 0.376 0.376 0.376
Ba2 Ba 0.376 0.376 0.872
Ba3 Ba 0.376 0.872 0.376
Ba4 Ba 0.872 0.376 0.376
Te1 Te 0.750 0.750 0.750
Br1 Br 0.000 0.000 0.000
```

Calculated values
As for the space-group type: F-43m, No. 216. Its formation energy (no corrections) is -305 meV/atom. The calculation puts the density at 4.50 g cm⁻³. The calculation puts the total energy at -14.337 eV for the cell shown. The magnetic moment is 1.37 μB/cell.

DFT (PBE) results for a relaxed structure of BaTe2Br2.

```
data_BaTe2Br2
_chemical_formula_sum 'Ba1 Te2 Br2'
_cell_length_a 12.589
_cell_length_b 12.589
_cell_length_c 12.589
_cell_angle_alpha 160.74
_cell_angle_beta 160.74
_cell_angle_gamma 27.37
_space_group_name_H-M_alt 'P 1'
_space_group_IT_number 1
_space_group_name_Hall 'P 1'
loop_
_atom_site_label
_atom_site_type_symbol
_atom_site_fract_x
_atom_site_fract_y
_atom_site_fract_z
Ba1 Ba 0.000 0.000 0.000
Te1 Te 0.250 0.750 0.500
Te2 Te 0.750 0.250 0.500
Br1 Br 0.429 0.429 0.000
Br2 Br 0.571 0.571 0.000
```

Calculated values
As for the space-group type: I4/mmm, No. 139. Its formation energy (no corrections) is -1136 meV/atom. The calculation puts the density at 4.23 g cm⁻³. The calculation puts the total energy at -17.233 eV for the cell shown. The magnetic moment is 0.00 μB/cell.

DFT (PBE) results for a relaxed structure of Ba2ThBr8.

```
data_Ba2ThBr8
_chemical_formula_sum 'Ba2 Th1 Br8'
_cell_length_a 9.202
_cell_length_b 9.202
_cell_length_c 8.157
_cell_angle_alpha 92.20
_cell_angle_beta 92.20
_cell_angle_gamma 44.84
_space_group_name_H-M_alt 'P 1'
_space_group_IT_number 1
_space_group_name_Hall 'P 1'
loop_
_atom_site_label
_atom_site_type_symbol
_atom_site_fract_x
_atom_site_fract_y
_atom_site_fract_z
Ba1 Ba 0.140 0.140 0.043
Ba2 Ba 0.860 0.860 0.957
Th1 Th 0.000 0.000 0.500
Br1 Br 0.164 0.164 0.448
Br2 Br 0.235 0.725 0.229
Br3 Br 0.275 0.765 0.771
Br4 Br 0.313 0.313 0.934
Br5 Br 0.687 0.687 0.066
Br6 Br 0.725 0.235 0.229
Br7 Br 0.765 0.275 0.771
Br8 Br 0.836 0.836 0.552
```

Calculated values
As for the space-group type: C2/m, No. 12. Its formation energy (no corrections) is -1922 meV/atom. The calculation puts the density at 3.91 g cm⁻³. The calculation puts the total energy at -45.795 eV for the cell shown. The magnetic moment is 0.00 μB/cell.

Question: Look up the formation energy (no corrections) of the second one.
Answer: -305 meV/atom

Question: Which value of magnetic moment does entry 2 give?
Answer: 1.37 μB/cell